The following is a DFT calculation (GGA-PBE) of BaCa2Se after structural relaxation.

Computed properties:
- crystal system = orthorhombic
- formation energy from raw total energies (meV per atom) = -522

a = 4.852 Å, b = 4.886 Å, c = 6.317 Å
α = 90.00°, β = 90.00°, γ = 90.00°
Atoms (fractional coordinates):
Ca (0.000, 0.000, 0.000)
Ca (0.500, 0.500, 0.000)
Ba (0.000, 0.500, 0.500)
Se (0.500, 0.000, 0.500)

The following is a DFT calculation (GGA-PBE) of BaCaSe after structural relaxation.

Computed properties:
- E above lowest polymorph (kJ/mol of formula units) = 0
- crystal system = trigonal
- formation energy from raw total energies (meV per atom) = -1210

a = 4.342 Å, b = 4.342 Å, c = 7.437 Å
α = 90.00°, β = 90.00°, γ = 120.00°
Atoms (fractional coordinates):
Ca (0.667, 0.333, 0.429)
Ba (0.000, 0.000, 0.930)
Se (0.333, 0.667, 0.641)

The following is a DFT calculation (GGA-PBE) of Ba2CaSe after structural relaxation.

Computed properties:
- crystal system = orthorhombic
- formation energy from raw total energies (meV per atom) = -673

a = 7.656 Å, b = 7.656 Å, c = 7.656 Å
α = 146.97°, β = 127.09°, γ = 63.80°
Atoms (fractional coordinates):
Ca (0.250, 0.750, 0.500)
Ba (0.931, 0.931, 0.000)
Ba (0.569, 0.569, 0.000)
Se (0.750, 0.250, 0.500)